A plane-wave DFT calculation with PBE-GGA was carried out for a geometry-optimized Sm2Be3Ge4Pd structure.

a b c (Å): 4.090 4.090 10.026
angles (deg): 90.00 90.00 90.00
Space group P-4m2 (No. 115)
Inequivalent atoms, fractional coordinates:
Sm (0.000, 0.500, 0.249) (multiplicity 2)
Be (0.000, 0.500, 0.869) (multiplicity 2)
Be (0.500, 0.500, 0.500) (multiplicity 1)
Ge (0.000, 0.000, 0.000) (multiplicity 1)
Ge (0.000, 0.500, 0.643) (multiplicity 2)
Ge (0.500, 0.500, 0.000) (multiplicity 1)
Pd (0.000, 0.000, 0.500) (multiplicity 1)

DOS(E_F) = 1.6 states/eV/cell
energy of formation from the pure elements = -0.489 eV per atom
crystal system = tetragonal
total DFT energy (no corrections) = -4.917 eV per atom
spin magnetization = 0.00 μB/f.u.

***

A plane-wave DFT calculation with PBE-GGA was carried out for a geometry-optimized Sm3Be2GePd9 structure.

a b c (Å): 5.9363 5.9363 8.9342
angles (deg): 90.00 90.00 120.00
Space group P-3m1 (No. 164)
Inequivalent atoms, fractional coordinates:
Sm (0.0000, 0.0000, 0.0000) (multiplicity 1)
Sm (0.3333, 0.6667, 0.6525) (multiplicity 2)
Be (0.3333, 0.6667, 0.1505) (multiplicity 2)
Ge (0.0000, 0.0000, 0.5000) (multiplicity 1)
Pd (0.0000, 0.5000, 0.0000) (multiplicity 3)
Pd (0.1633, 0.3265, 0.2931) (multiplicity 6)

DOS(E_F) = 7.8 states/eV/cell
energy of formation from the pure elements = -0.656 eV per atom
crystal system = trigonal
total DFT energy (no corrections) = -5.520 eV per atom
spin magnetization = 0.00 μB/f.u.

***

A plane-wave DFT calculation with PBE-GGA was carried out for a geometry-optimized SrBeGe2Pd structure.

a b c (Å): 4.225 4.225 10.634
angles (deg): 90.00 90.00 90.00
Space group I-4m2 (No. 119)
Inequivalent atoms, fractional coordinates:
Sr (0.000, 0.000, 0.000) (multiplicity 2)
Be (0.000, 0.500, 0.250) (multiplicity 2)
Ge (0.000, 0.000, 0.376) (multiplicity 4)
Pd (0.000, 0.500, 0.750) (multiplicity 2)

DOS(E_F) = 4.6 states/eV/cell
energy of formation from the pure elements = -0.448 eV per atom
crystal system = tetragonal
total DFT energy (no corrections) = -4.415 eV per atom
spin magnetization = 0.00 μB/f.u.

***

A plane-wave DFT calculation with PBE-GGA was carried out for a geometry-optimized Sr2Be3Ge4Pd structure.

a b c (Å): 4.209 4.209 10.181
angles (deg): 90.00 90.00 90.00
Space group P-4m2 (No. 115)
Inequivalent atoms, fractional coordinates:
Sr (0.000, 0.500, 0.247) (multiplicity 2)
Be (0.000, 0.500, 0.874) (multiplicity 2)
Be (0.500, 0.500, 0.500) (multiplicity 1)
Ge (0.000, 0.000, 0.000) (multiplicity 1)
Ge (0.000, 0.500, 0.636) (multiplicity 2)
Ge (0.500, 0.500, 0.000) (multiplicity 1)
Pd (0.000, 0.000, 0.500) (multiplicity 1)

DOS(E_F) = 2.4 states/eV/cell
energy of formation from the pure elements = -0.329 eV per atom
crystal system = tetragonal
total DFT energy (no corrections) = -4.149 eV per atom
spin magnetization = 0.00 μB/f.u.